No. 1
Ac3Zn2Sn2: optimized geometry, PBE-GGA.

* space group: Immm (71)
* energy: -3.8411 eV/atom
* volume: 219.8 Å³ per cell
* N(E_F): 4.99 states/eV per cell
* ΔE_f: -573 meV per atom

Structure (extended XYZ):
```
7
Lattice="-2.2977 2.3897 10.0079 2.2977 -2.3897 10.0079 2.2977 2.3897 -10.0079" Properties=species:S:1:pos:R:3 pbc="T T T"
Ac 0.0000 0.0000 0.0000
Ac 2.2977 0.0000 3.6681
Ac 0.0000 2.3897 6.3398
Zn 0.0000 0.0000 8.7852
Zn 0.0000 0.0000 11.2306
Sn 2.2977 0.0000 7.2262
Sn 0.0000 2.3897 2.7817
```


No. 2
Tc2MoPb: optimized geometry, PBE-GGA.

* space group: I-42d (122)
* energy: -7.8876 eV/atom
* volume: 154.0 Å³ per cell
* N(E_F): 10.19 states/eV per cell
* ΔE_f: 930 meV per atom

Structure (extended XYZ):
```
8
Lattice="-3.7071 3.7071 2.8022 3.7071 -3.7071 2.8022 3.7071 3.7071 -2.8022" Properties=species:S:1:pos:R:3 pbc="T T T"
Tc 5.5607 1.4361 -0.7005
Tc 1.4361 1.8536 0.7005
Tc -1.8536 2.2710 2.1016
Tc 2.2710 1.8536 3.5027
Mo 0.0000 0.0000 0.0000
Mo 0.0000 3.7071 1.4011
Pb 3.7071 0.0000 1.4011
Pb 0.0000 0.0000 2.8022
```


No. 3
Er4Ga6Ir7: optimized geometry, PBE-GGA.

* space group: Im-3m (229)
* energy: -6.5691 eV/atom
* volume: 294.5 Å³ per cell
* N(E_F): 7.53 states/eV per cell
* ΔE_f: -779 meV per atom

Structure (extended XYZ):
```
17
Lattice="-4.1912 4.1912 4.1912 4.1912 -4.1912 4.1912 4.1912 4.1912 -4.1912" Properties=species:S:1:pos:R:3 pbc="T T T"
Er 2.0956 2.0956 -2.0956
Er 2.0956 -2.0956 2.0956
Er -2.0956 2.0956 2.0956
Er 2.0956 2.0956 2.0956
Ga 2.6159 0.0000 0.0000
Ga 5.7665 0.0000 0.0000
Ga 0.0000 2.6159 0.0000
Ga 0.0000 0.0000 2.6159
Ga 0.0000 5.7665 0.0000
Ga 0.0000 0.0000 5.7665
Ir 0.0000 0.0000 0.0000
Ir 4.1912 2.0956 0.0000
Ir 4.1912 0.0000 2.0956
Ir 2.0956 4.1912 0.0000
Ir 2.0956 0.0000 4.1912
Ir 0.0000 4.1912 2.0956
Ir 0.0000 2.0956 4.1912
```


No. 4
TcSbW: optimized geometry, PBE-GGA.

* space group: P3m1 (156)
* energy: -8.7519 eV/atom
* ΔE_f (raw): 395 meV per atom
* volume: 53.3 Å³ per cell
* N(E_F): 2.43 states/eV per cell

Structure (extended XYZ):
```
3
Lattice="3.0338 0.0000 0.0000 -1.5169 2.6274 0.0000 0.0000 0.0000 6.6841" Properties=species:S:1:pos:R:3 pbc="T T T"
Tc 0.0000 0.0000 0.0000
Sb 1.5169 0.8758 4.3590
W 0.0000 1.7516 1.9534
```


No. 5
Sr2Tl6Hg: optimized geometry, PBE-GGA.

* space group: C2/m (12)
* energy: -2.2004 eV/atom
* volume: 285.8 Å³ per cell
* N(E_F): 4.57 states/eV per cell
* ΔE_f: -216 meV per atom

Structure (extended XYZ):
```
9
Lattice="6.0934 -3.5128 0.0000 6.0934 3.5128 0.0000 -0.0110 0.0000 6.6767" Properties=species:S:1:pos:R:3 pbc="T T T"
Sr 2.0235 0.0000 2.2912
Sr 10.1523 0.0000 4.3856
Tl 5.0052 1.8716 1.1769
Tl 3.9152 0.0000 5.4889
Tl 7.1706 1.8716 5.4999
Tl 5.0052 -1.8716 1.1769
Tl 8.2606 0.0000 1.1878
Tl 7.1706 -1.8716 5.4999
Hg 6.0879 0.0000 3.3384
```


No. 6
LiAu2Se: optimized geometry, PBE-GGA.

* space group: Pmm2 (25)
* energy: -3.2738 eV/atom
* ΔE_f (raw): -286 meV per atom
* volume: 74.9 Å³ per cell
* N(E_F): 0.88 states/eV per cell

Structure (extended XYZ):
```
4
Lattice="2.8816 0.0000 0.0000 0.0000 4.1592 0.0000 0.0000 0.0000 6.2485" Properties=species:S:1:pos:R:3 pbc="T T T"
Li 0.0000 0.0000 0.0000
Au 0.0000 0.0000 3.3307
Au 1.4408 2.0796 4.6669
Se 1.4408 2.0796 1.0460
```